The following is a PBE calculation of crystalline Ba2ZnPtC at its relaxed geometry, from the Alexandria database.

Cell lengths 5.9554, 5.9554, 3.8997 Å; angles 90.00, 90.00, 90.00 degrees
Fractional positions:
Ba: 0.0000 0.5000 0.0000
Ba: 0.5000 0.0000 0.0000
Zn: 0.0000 0.0000 0.5000
Pt: 0.5000 0.5000 0.5000
C: 0.5000 0.5000 0.0000

Properties
DFT total energy: -21.31 eV/f.u.
formation energy: -17.9 kJ per mole of atoms
DOS at the Fermi energy: 1.9 states/eV per cell
energy above the lowest structure with this stoichiometry: 0.000 eV/atom
calculated density: 6.57 g/cm³
symmetry: P4/mmm, No. 123

---

The following is a PBE calculation of crystalline YBiAs2Br at its relaxed geometry, from the Alexandria database.

Cell lengths 5.4377, 5.4377, 5.4036 Å; angles 90.00, 90.00, 90.00 degrees
Fractional positions:
Y: 0.0000 0.0000 0.0000
Bi: 0.5000 0.5000 0.5000
As: 0.0000 0.5000 0.5000
As: 0.5000 0.0000 0.5000
Br: 0.5000 0.5000 0.0000

Properties
DFT total energy: -20.14 eV/f.u.
DOS at the Fermi energy: 1.1 states/eV per cell
E_form (uncorrected): 0.236 eV/atom
energy above the lowest structure with this stoichiometry: 0.272 eV/atom
calculated density: 5.48 g/cm³
symmetry: P4/mmm, No. 123

---

The following is a PBE calculation of crystalline AsW2Cl at its relaxed geometry, from the Alexandria database.

Cell lengths 3.0019, 3.0019, 8.5807 Å; angles 90.00, 90.00, 120.27 degrees
Fractional positions:
As: 0.0000 0.0000 0.0000
W: 0.5000 0.5000 0.2394
W: 0.5000 0.5000 0.7606
Cl: 0.0000 0.0000 0.5000

Properties
DFT total energy: -29.23 eV/f.u.
DOS at the Fermi energy: 3.5 states/eV per cell
E_form (uncorrected): 0.793 eV/atom
energy above the lowest structure with this stoichiometry: 0.805 eV/atom
calculated density: 11.89 g/cm³
symmetry: Cmmm, No. 65